This record from the Alexandria database describes a relaxed structure of Ca2InTc. The functional is PBE. Values from VASP.

Structure (Quantum ESPRESSO input):
```
&SYSTEM
  ibrav = 0, nat = 4, ntyp = 3
/
ATOMIC_SPECIES
Ca 40.08 Ca.upf
Tc 98.00 Tc.upf
In 114.82 In.upf
CELL_PARAMETERS angstrom
3.633 0.000 0.000
0.000 3.633 0.000
0.000 0.000 8.163
ATOMIC_POSITIONS crystal
Ca 0.000 0.000 0.931
Ca 0.500 0.500 0.317
Tc 0.500 0.500 0.690
In 0.000 0.000 0.562
```

Results
Magnetization: 0.12 Bohr magnetons per cell
Formation energy: 0.1630 eV/atom
E_tot: -16.46 eV for the cell shown

=====

This record from the Alexandria database describes a relaxed structure of CaInTc2. The functional is PBE. Values from VASP.

Structure (Quantum ESPRESSO input):
```
&SYSTEM
  ibrav = 0, nat = 4, ntyp = 3
/
ATOMIC_SPECIES
Ca 40.08 Ca.upf
Tc 98.00 Tc.upf
In 114.82 In.upf
CELL_PARAMETERS angstrom
5.236 -0.433 0.514
4.191 3.168 0.514
1.172 0.340 5.061
ATOMIC_POSITIONS crystal
Ca 0.750 0.750 0.750
Tc 0.992 0.992 0.119
Tc 0.508 0.508 0.381
In 0.250 0.250 0.250
```

Results
Magnetization: 0.00 Bohr magnetons per cell
Formation energy: 0.3506 eV/atom
E_tot: -24.07 eV for the cell shown

=====

This record from the Alexandria database describes a relaxed structure of Ca3InTc. The functional is PBE. Values from VASP.

Structure (Quantum ESPRESSO input):
```
&SYSTEM
  ibrav = 0, nat = 5, ntyp = 3
/
ATOMIC_SPECIES
Ca 40.08 Ca.upf
Tc 98.00 Tc.upf
In 114.82 In.upf
CELL_PARAMETERS angstrom
5.432 0.000 0.000
0.000 5.432 0.000
0.000 0.000 5.432
ATOMIC_POSITIONS crystal
Ca 0.000 0.500 0.000
Ca 0.000 0.000 0.500
Ca 0.500 0.000 0.000
Tc 0.000 0.000 0.000
In 0.500 0.500 0.500
```

Results
Magnetization: 0.00 Bohr magnetons per cell
Formation energy: 0.4418 eV/atom
Excess energy over the best structure of this formula in the dataset: 0.000 eV per atom
E_tot: -16.90 eV for the cell shown

=====

This record from the Alexandria database describes a relaxed structure of Ca2InTcW. The functional is PBE. Values from VASP.

Structure (Quantum ESPRESSO input):
```
&SYSTEM
  ibrav = 0, nat = 5, ntyp = 4
/
ATOMIC_SPECIES
Ca 40.08 Ca.upf
Tc 98.00 Tc.upf
W 183.84 W.upf
In 114.82 In.upf
CELL_PARAMETERS angstrom
5.618 0.000 0.000
0.000 5.173 0.000
0.000 0.000 5.618
ATOMIC_POSITIONS crystal
Ca 0.000 0.000 0.500
Ca 0.500 0.000 0.000
Tc 0.500 0.500 0.500
W 0.000 0.500 0.000
In 0.000 0.000 0.000
```

Results
Magnetization: 0.62 Bohr magnetons per cell
Formation energy: 1.7542 eV/atom
E_tot: -21.29 eV for the cell shown

=====

This record from the Alexandria database describes a relaxed structure of CaIn4Te. The functional is PBE. Values from VASP.

Structure (Quantum ESPRESSO input):
```
&SYSTEM
  ibrav = 0, nat = 6, ntyp = 3
/
ATOMIC_SPECIES
Ca 40.08 Ca.upf
In 114.82 In.upf
Te 127.60 Te.upf
CELL_PARAMETERS angstrom
6.116 -1.133 -0.646
3.427 -1.599 4.980
2.174 -5.837 0.555
ATOMIC_POSITIONS crystal
Ca 0.000 0.000 0.000
In 0.876 0.375 0.375
In 0.375 0.375 0.876
In 0.375 0.876 0.375
In 0.375 0.375 0.375
Te 0.750 0.750 0.750
```

Results
Magnetization: 0.00 Bohr magnetons per cell
E_tot: -17.04 eV for the cell shown
Energy relative to the elements, uncorrected: -0.157 eV per atom

=====

This record from the Alexandria database describes a relaxed structure of CaInTe. The functional is PBE. Values from VASP.

Structure (Quantum ESPRESSO input):
```
&SYSTEM
  ibrav = 0, nat = 3, ntyp = 3
/
ATOMIC_SPECIES
Ca 40.08 Ca.upf
Te 127.60 Te.upf
In 114.82 In.upf
CELL_PARAMETERS angstrom
-0.402 -6.121 -1.226
2.003 -5.548 2.083
-2.906 -1.684 2.403
ATOMIC_POSITIONS crystal
Ca 0.023 0.023 0.977
Te 0.636 0.636 0.364
In 0.341 0.341 0.659
```

Results
Magnetization: 0.00 Bohr magnetons per cell
E_tot: -9.81 eV for the cell shown
Energy relative to the elements, uncorrected: -0.644 eV per atom

=====

This record from the Alexandria database describes a relaxed structure of CaInTe. The functional is PBE. Values from VASP.

Structure (Quantum ESPRESSO input):
```
&SYSTEM
  ibrav = 0, nat = 3, ntyp = 3
/
ATOMIC_SPECIES
Ca 40.08 Ca.upf
Te 127.60 Te.upf
In 114.82 In.upf
CELL_PARAMETERS angstrom
5.362 0.000 0.000
2.681 4.643 0.000
2.681 1.548 4.378
ATOMIC_POSITIONS crystal
Ca 0.000 0.000 0.000
Te 0.750 0.750 0.750
In 0.500 0.500 0.500
```

Results
Magnetization: 0.00 Bohr magnetons per cell
E_tot: -9.45 eV for the cell shown
Energy relative to the elements, uncorrected: -0.522 eV per atom

=====

This record from the Alexandria database describes a relaxed structure of CaInTe. The functional is PBE. Values from VASP.

Structure (Quantum ESPRESSO input):
```
&SYSTEM
  ibrav = 0, nat = 3, ntyp = 3
/
ATOMIC_SPECIES
Ca 40.08 Ca.upf
Te 127.60 Te.upf
In 114.82 In.upf
CELL_PARAMETERS angstrom
4.310 0.000 0.000
-2.155 3.732 0.000
0.000 0.000 6.297
ATOMIC_POSITIONS crystal
Ca 0.000 0.000 0.971
Te 0.333 0.667 0.676
In 0.667 0.333 0.352
```

Results
Magnetization: 0.00 Bohr magnetons per cell
E_tot: -9.62 eV for the cell shown
Energy relative to the elements, uncorrected: -0.579 eV per atom